Record 1
Ca2CuAg2: optimized geometry, PBE-GGA.

Properties
* formation enthalpy at 0 K: 0.2 eV/f.u.
* DOS at the Fermi energy: 3.78 states/eV per cell
* ΔE to the lowest computed polymorph: 0.96 eV per formula unit
* crystal system: tetragonal

Cell: 8.052 8.052 4.040 Å, 90.00 90.00 90.00°
Space group P4/mbm (No. 127)
Unique sites:
Ca 0.171 0.329 0.000
Cu 0.000 0.000 0.000
Ag 0.126 0.626 0.500

***

Record 2
NdHo4Tm4: optimized geometry, PBE-GGA.

Properties
* formation enthalpy at 0 K: 0.8 eV/f.u.
* DOS at the Fermi energy: 46.68 states/eV per cell
* crystal system: monoclinic

Cell: 6.239 17.033 10.742 Å, 90.00 99.57 90.00°
Space group C2/m (No. 12)
Unique sites:
Nd 0.226 0.000 0.281
Ho 0.000 0.185 0.000
Ho 0.000 0.357 0.500
Ho 0.002 0.358 0.165
Tm 0.005 0.186 0.666
Tm 0.223 0.000 0.613
Tm 0.227 0.000 0.946

***

Record 3
YAl2Tc: optimized geometry, PBE-GGA.

Properties
* formation enthalpy at 0 K: -1.4 eV/f.u.
* DOS at the Fermi energy: 4.20 states/eV per cell
* ΔE to the lowest computed polymorph: 0.00 eV per formula unit
* crystal system: orthorhombic

Cell: 3.215 3.230 7.073 Å, 90.00 90.00 90.00°
Space group Pmmm (No. 47)
Unique sites:
Y 0.000 0.000 0.000
Al 0.500 0.500 0.313
Tc 0.000 0.000 0.500

***

Record 4
CeNd2Nb: optimized geometry, PBE-GGA.

Properties
* formation enthalpy at 0 K: 2.4 eV/f.u.
* DOS at the Fermi energy: 26.58 states/eV per cell
* crystal system: trigonal

Cell: 3.2750 3.2750 35.7863 Å, 90.00 90.00 120.00°
Space group R-3m (No. 166, hexagonal axes)
Unique sites:
Ce 0.0000 0.0000 0.0000
Nd 0.0000 0.0000 0.4179
Nb 0.0000 0.0000 0.5000

***

One value per record, in order, for final energy: -2.71, -4.46, -6.42, -5.79 eV per atom.